Entry 1:
# Tb3Y8Sc3

Crystalline Tb3Y8Sc3 at its relaxed geometry (PBE, Alexandria).

Computed properties:
- V (Å³/atom) = 31.81
- DFT formation energy (kcal/mol of atoms) = 9.233

Cell: 5.3754 9.6047 17.2520 Å, 90.00 90.00 90.00°
Closest atoms and distances in Å follow each position.
Space group Immm (No. 71)
One atom of each set of equivalent atoms:
Tb (0.0000, 0.0000, 0.0000)  4 Y 3.10
Tb (0.0000, 0.2446, 0.5000)  6 Y 3.42-3.57, 4 Sc 3.57-3.78, 2 Tb 3.64
Y (0.0000, 0.1554, 0.2991)  4 Y 2.98-3.18
Y (0.0000, 0.2368, 0.1223)  3 Tb 3.10-3.42, 3 Y 3.15-3.18, 1 Sc 3.29
Sc (0.0000, 0.5000, 0.0000)  4 Y 3.29, 4 Tb 3.57
Sc (0.0000, 0.5000, 0.3331)  6 Y 3.36-3.60

***

Entry 2:
# YPb5

Crystalline YPb5 at its relaxed geometry (PBE, Alexandria).

Computed properties:
- V (Å³/atom) = 30.56
- relative energy among the computed polymorphs (kJ per mole of atoms) = 4.12
- DFT formation energy (kcal/mol of atoms) = -2.427

Cell: 5.8120 10.9800 5.7456 Å, 90.00 90.00 90.00°
Closest atoms and distances in Å follow each position.
Space group Cmmm (No. 65)
One atom of each set of equivalent atoms:
Y (0.0000, 0.0000, 0.0000)  10 Pb 3.34-3.53
Pb (0.0000, 0.1558, 0.5000)  2 Y 3.34, 7 Pb 3.37-3.57
Pb (0.0000, 0.3215, 0.0000)  6 Pb 3.30-3.48, 3 Y 3.51-3.53
Pb (0.0000, 0.5000, 0.5000)  8 Pb 3.37-3.48

***

Entry 3:
# CsAg2PbAu

Crystalline CsAg2PbAu at its relaxed geometry (PBE, Alexandria).

Computed properties:
- V (Å³/atom) = 34.80
- DFT formation energy (kcal/mol of atoms) = 2.115

Cell: 5.5044 5.5044 5.7424 Å, 90.00 90.00 90.00°
Closest atoms and distances in Å follow each position.
Space group P4/mmm (No. 123)
One atom of each set of equivalent atoms:
Cs (0.0000, 0.0000, 0.0000)  4 Au 3.89, 8 Ag 3.98
Ag (0.0000, 0.5000, 0.5000)  2 Pb 2.75
Pb (0.5000, 0.5000, 0.5000)  4 Ag 2.75, 2 Au 2.87
Au (0.5000, 0.5000, 0.0000)  2 Pb 2.87

***

Entry 4:
# RbSF5

Crystalline RbSF5 at its relaxed geometry (PBE, Alexandria).

Computed properties:
- V (Å³/atom) = 17.71
- formation energy from raw total energies (eV/f.u.) = -14.135
- relative energy among the computed polymorphs (kJ per mole of atoms) = 0.00

Cell: 10.2145 6.2206 7.8028 Å, 90.00 90.00 90.00°
Closest atoms and distances in Å follow each position.
Space group Pnma (No. 62)
One atom of each set of equivalent atoms:
Rb (0.1555, 0.2500, 0.1527)  10 F 2.96-3.31
S (0.0959, 0.2500, 0.6537)  5 F 1.62-1.79
F (0.0694, 0.0467, 0.8127)  1 S 1.79
F (0.1486, 0.0505, 0.5074)  1 S 1.77
F (0.2460, 0.2500, 0.7220)  1 S 1.62

***

Entry 5:
# Nb2HgCl6

Crystalline Nb2HgCl6 at its relaxed geometry (PBE, Alexandria).

Computed properties:
- V (Å³/atom) = 29.44
- formation energy from raw total energies (eV/f.u.) = -9.474

Cell: 14.5142 3.2521 11.4159 Å, 90.00 100.49 90.00°
Closest atoms and distances in Å follow each position.
Space group C2/m (No. 12)
One atom of each set of equivalent atoms:
Nb (0.2135, 0.0000, 0.3908)  6 Cl 2.37-2.55
Hg (0.0000, 0.5000, 0.0000)  2 Hg 3.25
Cl (0.0813, 0.5000, 0.3328)  2 Nb 2.51
Cl (0.1496, 0.0000, 0.5848)  3 Nb 2.54-2.55
Cl (0.2291, 0.0000, 0.1878)  1 Nb 2.37

***

Entry 6:
# TbSm2HoTl4

Crystalline TbSm2HoTl4 at its relaxed geometry (PBE, Alexandria).

Computed properties:
- V (Å³/atom) = 28.10
- DFT formation energy (kcal/mol of atoms) = -8.233

Cell: 5.4143 5.4143 26.5660 Å, 90.00 90.00 120.00°
Closest atoms and distances in Å follow each position.
Space group R-3m (No. 166, hexagonal axes)
One atom of each set of equivalent atoms:
Tb (0.0000, 0.0000, 0.0000)  8 Tl 3.32-3.33
Sm (0.0000, 0.0000, 0.2497)  8 Tl 3.31-3.34
Ho (0.0000, 0.0000, 0.5000)  8 Tl 3.31
Tl (0.0000, 0.0000, 0.1252)  4 Sm 3.31-3.32, 3 Ho 3.31, 1 Tb 3.33
Tl (0.0000, 0.0000, 0.3752)  1 Ho 3.31, 4 Sm 3.32-3.34, 3 Tb 3.32

***

Entry 7:
# CuBr2F4

Crystalline CuBr2F4 at its relaxed geometry (PBE, Alexandria).

Computed properties:
- V (Å³/atom) = 18.26
- formation energy from raw total energies (eV/f.u.) = -5.250

Cell: 3.8509 3.8509 17.2395 Å, 90.00 90.00 90.00°
Closest atoms and distances in Å follow each position.
Space group I4/mmm (No. 139)
One atom of each set of equivalent atoms:
Cu (0.0000, 0.0000, 0.0000)  6 F 1.80-1.93
Br (0.0000, 0.0000, 0.2604)  1 F 2.69, 4 Br 2.75
F (0.0000, 0.0000, 0.1045)  1 Cu 1.80
F (0.0000, 0.5000, 0.0000)  2 Cu 1.93

***

Entry 8:
# Sr2MnCoIr

Crystalline Sr2MnCoIr at its relaxed geometry (PBE, Alexandria).

Computed properties:
- V (Å³/atom) = 25.87
- DFT formation energy (kcal/mol of atoms) = 18.858

Cell: 5.4498 5.4498 4.3556 Å, 90.00 90.00 90.00°
Closest atoms and distances in Å follow each position.
Space group P4/mmm (No. 123)
One atom of each set of equivalent atoms:
Sr (0.0000, 0.5000, 0.0000)  2 Co 2.72
Mn (0.0000, 0.0000, 0.5000)  2 Co 2.18
Co (0.0000, 0.0000, 0.0000)  2 Mn 2.18
Ir (0.5000, 0.5000, 0.5000)  8 Sr 3.49, 4 Mn 3.85